Computed, not measured: crystalline Zr2Cd at its relaxed geometry at the PBE level of DFT.

Cell lengths 8.2099, 8.2099, 8.2099 Å; angles 90.00, 90.00, 90.00 degrees
Space group Fd-3m (No. 227, origin choice 2)
Symmetry-distinct sites (fractional):
Zr1 0.0000 0.0000 0.0000
Cd1 0.1250 0.1250 0.6250

Results
Crystal system: cubic
Formation enthalpy at 0 K: 0.72 eV/f.u.
Theoretical density: 7.08 Mg/m³
V: 23.057 Å³/atom